! BeNiB3, optimized geometry, DFT PBE; values from VASP
&SYSTEM
  ibrav = 0, nat = 5, ntyp = 3
/
ATOMIC_SPECIES
Ni 58.69 Ni.upf
B 10.81 B.upf
Be 9.01 Be.upf
ATOMIC_POSITIONS angstrom
Ni 1.747 1.747 1.747
B 0.000 1.747 0.000
B 0.000 0.000 1.747
B 1.747 0.000 0.000
Be 0.000 0.000 0.000
CELL_PARAMETERS angstrom
3.494 0.000 0.000
0.000 3.494 0.000
0.000 0.000 3.494
! ρ	3.9	g/cm³
! polymorph energy (0 for the lowest one)	128	meV per atom
! space group	Pm-3m (221)
! D(E_F)	2.13	states/eV per cell
! total energy	-22.397	eV/cell
! energy of formation	1.43	eV per atom